Model a:
The following is a DFT calculation (GGA-PBE) of MgCoCl4 after structural relaxation.

Results
calculated volume	24.94	A^3/atom

Cell: 3.6092 6.6410 6.2550 Å, 93.59 90.00 90.00°
Last column: magnetic moment on the atom in μB.
Fractional coordinates of all 6 atoms:
Mg1 0.5000 0.0000 0.5000  0.00
Cl1 0.5000 0.2014 0.8538  0.12
Cl2 0.0000 0.7940 0.6586  0.06
Cl3 0.0000 0.2060 0.3414  0.06
Cl4 0.5000 0.7986 0.1462  0.12
Co1 0.0000 0.0000 0.0000  2.52

---

Model b:
The following is a DFT calculation (GGA-PBE) of MgCoCl4 after structural relaxation.

Results
calculated volume	23.60	A^3/atom

Cell: 5.8503 5.8503 5.8503 Å, 60.00 60.00 60.00°
Last column: magnetic moment on the atom in μB.
Fractional coordinates of all 6 atoms:
Co1 0.7500 0.7500 0.7500  2.06
Mg1 0.0000 0.0000 0.0000  -0.03
Cl1 0.3753 0.3753 0.3753  0.35
Cl2 0.3753 0.3753 0.8742  0.35
Cl3 0.8742 0.3753 0.3753  0.35
Cl4 0.3753 0.8742 0.3753  0.35

---

What should be chosen as the least stable of them? Choose model b.

---

Model a:
The following is a DFT calculation (GGA-PBE) of MgCoPCl2 after structural relaxation.

Results
calculated volume	19.49	A^3/atom

Cell: 4.6984 4.6984 4.4142 Å, 90.00 90.00 90.00°
Fractional coordinates of all 5 atoms:
P1 0.0000 0.0000 0.5000
Cl1 0.5000 0.0000 0.0000
Cl2 0.0000 0.5000 0.0000
Co1 0.0000 0.0000 0.0000
Mg1 0.5000 0.5000 0.5000

---

Model b:
The following is a DFT calculation (GGA-PBE) of MgCoPCl2 after structural relaxation.

Results
calculated volume	25.18	A^3/atom

Cell: 4.5250 4.5250 6.1486 Å, 90.00 90.00 90.00°
Last column: magnetic moment on the atom in μB.
Fractional coordinates of all 5 atoms:
Co1 0.5000 0.5000 0.5000  2.31
Cl1 0.5000 0.0000 0.0000  0.04
Cl2 0.0000 0.5000 0.0000  0.04
Mg1 0.0000 0.0000 0.0000  0.01
P1 0.0000 0.0000 0.5000  0.40

---

What should be chosen as the least stable of them? Choose model b.

---

Model a:
The following is a DFT calculation (GGA-PBE) of MgCoP2Cl after structural relaxation.

Results
calculated volume	22.41	A^3/atom

Cell: 4.8436 4.8436 4.7758 Å, 90.00 90.00 90.00°
Last column: magnetic moment on the atom in μB.
Fractional coordinates of all 5 atoms:
P1 0.5000 0.0000 0.0000  -0.07
P2 0.0000 0.5000 0.0000  -0.07
Co1 0.5000 0.5000 0.5000  -2.29
Mg1 0.0000 0.0000 0.0000  0.00
Cl1 0.0000 0.0000 0.5000  -0.07

---

Model b:
The following is a DFT calculation (GGA-PBE) of MgCoP2Cl after structural relaxation.

Results
calculated volume	22.18	A^3/atom

Cell: 4.1177 4.1177 6.5413 Å, 90.00 90.00 90.00°
Fractional coordinates of all 5 atoms:
Mg1 0.5000 0.5000 0.5000
P1 0.0000 0.5000 0.0000
P2 0.5000 0.0000 0.0000
Cl1 0.0000 0.0000 0.5000
Co1 0.0000 0.0000 0.0000

---

What should be chosen as the least stable of them? Choose model a.

---

Model a:
The following is a DFT calculation (GGA-PBE) of MnCoCl2 after structural relaxation.

Results
calculated volume	20.13	A^3/atom

Cell: 8.8624 8.8624 8.8624 Å, 21.31 21.31 21.31°
Last column: magnetic moment on the atom in μB.
Fractional coordinates of all 4 atoms:
Cl1 0.0297 0.0297 0.0297  0.09
Cl2 0.2163 0.2163 0.2163  0.17
Mn1 0.7562 0.7562 0.7562  3.94
Co1 0.4978 0.4978 0.4978  2.01

---

Model b:
The following is a DFT calculation (GGA-PBE) of MnCoCl2 after structural relaxation.

Results
calculated volume	15.38	A^3/atom

Cell: 4.4076 4.4077 3.1661 Å, 90.00 90.00 89.99°
Last column: magnetic moment on the atom in μB.
Fractional coordinates of all 4 atoms:
Co1 0.5000 0.0000 0.5000  1.75
Mn1 0.0000 0.5000 0.5000  3.94
Cl1 0.5000 0.5000 0.0000  0.12
Cl2 0.0000 0.0000 0.0000  0.12

---

What should be chosen as the least stable of them? Choose model b.